Computed, not measured: Mn3Cu2SnP6O24 after structural relaxation at the GGA+U level of DFT.

- Energy: -6.93 eV per atom
- Calculated density: 3.6 g/cm3
- Size of the total moment: 11.24 Bohr magnetons per cell

Geometry as POSCAR:
```
Mn3Cu2SnP6O24
1.0
8.599 -0.031 -0.022
4.322 7.435 -0.022
4.322 2.476 7.010
O Mn P Cu Sn
24 3 6 2 1
Direct
0.187 0.994 0.386 O
0.242 0.435 0.581 O
0.763 0.555 0.415 O
0.258 0.913 0.063 O
0.488 0.695 0.882 O
0.435 0.581 0.242 O
0.994 0.386 0.187 O
0.951 0.735 0.089 O
0.386 0.187 0.994 O
0.695 0.882 0.488 O
0.555 0.415 0.763 O
0.882 0.488 0.695 O
0.581 0.242 0.435 O
0.913 0.063 0.258 O
0.320 0.117 0.497 O
0.497 0.320 0.117 O
0.611 0.801 0.020 O
0.735 0.089 0.951 O
0.063 0.258 0.913 O
0.020 0.611 0.801 O
0.801 0.020 0.611 O
0.117 0.497 0.320 O
0.415 0.763 0.555 O
0.089 0.951 0.735 O
0.143 0.143 0.143 Mn
0.642 0.642 0.642 Mn
0.357 0.357 0.357 Mn
0.537 0.254 0.961 P
0.254 0.961 0.537 P
0.961 0.537 0.254 P
0.452 0.747 0.045 P
0.045 0.452 0.747 P
0.747 0.045 0.452 P
0.004 0.004 0.004 Cu
0.500 0.500 0.500 Cu
0.858 0.858 0.858 Sn
```